No. 1
DFT (GGA+U) results for a relaxed structure of Ti2NiSF.

Unit cell a=4.1310 b=4.1310 c=3.9490 alpha=90.00 beta=90.00 gamma=90.00
Positions (direct):
1 Ti 0.0000 0.5000 0.0000
2 Ti 0.5000 0.0000 0.0000
3 Ni 0.0000 0.0000 0.5000
4 S 0.5000 0.5000 0.5000
5 F 0.0000 0.0000 0.0000

Computed properties:
- Calculated total energy: -5.01 eV/atom
- Density: 5.06 Mg/m³

---

No. 2
DFT (GGA+U) results for a relaxed structure of Ni3SbF.

Unit cell a=4.2064 b=4.2064 c=4.2064 alpha=90.00 beta=90.00 gamma=90.00
Positions (direct):
1 Ni 0.0000 0.0000 0.5000
2 Ni 0.0000 0.5000 0.0000
3 Ni 0.5000 0.0000 0.0000
4 Sb 0.5000 0.5000 0.5000
5 F 0.0000 0.0000 0.0000

Computed properties:
- Calculated total energy: -2.72 eV/atom
- Density: 7.07 Mg/m³

---

No. 3
DFT (GGA+U) results for a relaxed structure of NiSbF6.

Unit cell a=5.0972 b=5.0972 c=4.8377 alpha=90.00 beta=90.00 gamma=120.00
Positions (direct):
1 Ni 0.0000 0.0000 0.0000
2 Sb 0.3333 0.6667 0.5000
3 F 0.0186 0.3302 0.2490
4 F 0.0186 0.6883 0.7510
5 F 0.3117 0.3302 0.7510
6 F 0.3117 0.9814 0.2490
7 F 0.6698 0.6883 0.2490
8 F 0.6698 0.9814 0.7510

Computed properties:
- Calculated total energy: -4.41 eV/atom
- Density: 4.49 Mg/m³

---

The lowest density belongs to which entry?
NiSbF6

---

Which value of calculated total energy does entry 1 give?
-5.01 eV/atom